Arrangement w

The following is a DFT calculation (meta-GGA SCAN) of LaZrRe2 at its PBEsol-relaxed geometry.

Output
Density of states at the Fermi level: 1.001 states/eV/atom
Total magnetization: 0.0 μB per formula unit

a = 3.092 Å, b = 4.617 Å, c = 6.129 Å
α = 93.06°, β = 90.00°, γ = 109.56°
Element x y z (fractional)
Re1 0.237 0.474 0.186
Re2 0.763 0.526 0.814
La1 0.000 0.000 0.500
Zr1 0.500 0.000 0.000

Arrangement x

The following is a DFT calculation (meta-GGA SCAN) of LaZrRe2 at its PBEsol-relaxed geometry.

Output
Density of states at the Fermi level: 0.929 states/eV/atom
Total magnetization: 0.0 μB per formula unit

a = 3.005 Å, b = 4.122 Å, c = 6.776 Å
α = 90.00°, β = 99.22°, γ = 90.00°
Element x y z (fractional)
Re1 0.449 0.500 0.215
Re2 0.067 0.000 0.066
La1 0.575 0.500 0.783
Zr1 0.909 0.000 0.436

Least stable: arrangement w

Arrangement w

The following is a DFT calculation (meta-GGA SCAN) of LaZrRe2 at its PBEsol-relaxed geometry.

Output
Density of states at the Fermi level: 0.877 states/eV/atom
Total magnetization: 0.0 μB per formula unit

a = 2.904 Å, b = 2.904 Å, c = 9.864 Å
α = 90.00°, β = 90.00°, γ = 111.81°
Element x y z (fractional)
La1 0.500 0.500 0.222
Re1 0.000 0.000 0.968
Zr1 0.000 0.000 0.544
Re2 0.500 0.500 0.766

Arrangement x

The following is a DFT calculation (meta-GGA SCAN) of LaZrRe2 at its PBEsol-relaxed geometry.

Output
Density of states at the Fermi level: 0.764 states/eV/atom
Total magnetization: 0.0 μB per formula unit

a = 3.223 Å, b = 4.892 Å, c = 5.497 Å
α = 116.42°, β = 107.05°, γ = 90.00°
Element x y z (fractional)
Re1 0.250 0.250 0.500
La1 0.500 0.000 0.000
Zr1 0.000 0.500 0.000
Re2 0.750 0.750 0.500

Least stable: arrangement x